1.
{"formula": "Sm4GeBi", "functional": "GGA-PBE", "state": "relaxed", "lattice_angstrom": [[4.463, -6.986, 0.000], [4.463, 6.986, 0.000], [-2.543, 0.000, 5.729]], "species": ["Sm", "Sm", "Sm", "Sm", "Sm", "Sm", "Sm", "Sm", "Ge", "Ge", "Bi", "Bi"], "frac_coords": [[0.077, 0.712, 0.934], [0.209, 0.371, 0.662], [0.288, 0.923, 0.566], [0.371, 0.209, 0.162], [0.629, 0.791, 0.838], [0.712, 0.077, 0.434], [0.791, 0.629, 0.338], [0.923, 0.288, 0.066], [0.001, 0.999, 0.250], [0.999, 0.001, 0.750], [0.381, 0.619, 0.250], [0.619, 0.381, 0.750]], "space_group": "C2/c, No. 15", "crystal_system": "monoclinic", "delta_e_f_ev_per_fu": -3.460}



2.
{"formula": "Sm8GeBi5", "functional": "GGA-PBE", "state": "relaxed", "lattice_angstrom": [[-4.726, 4.726, 4.796], [4.726, -4.726, 4.796], [4.726, 4.726, -4.796]], "species": ["Sm", "Sm", "Sm", "Sm", "Sm", "Sm", "Sm", "Sm", "Ge", "Bi", "Bi", "Bi", "Bi", "Bi"], "frac_coords": [[0.031, 0.136, 0.756], [0.249, 0.480, 0.625], [0.376, 0.751, 0.231], [0.380, 0.275, 0.244], [0.520, 0.145, 0.769], [0.725, 0.969, 0.105], [0.855, 0.624, 0.375], [0.864, 0.620, 0.895], [0.500, 0.500, 0.000], [0.001, 0.373, 0.134], [0.133, 0.999, 0.372], [0.239, 0.867, 0.866], [0.627, 0.761, 0.628], [0.750, 0.250, 0.500]], "space_group": "I-4, No. 82", "crystal_system": "tetragonal", "delta_e_f_ev_per_fu": -11.323}



3.
{"formula": "Sm2GeBi", "functional": "GGA-PBE", "state": "relaxed", "lattice_angstrom": [[2.260, -11.943, 0.000], [2.260, 11.943, 0.000], [0.000, 0.000, 4.293]], "species": ["Sm", "Sm", "Sm", "Sm", "Ge", "Ge", "Bi", "Bi"], "frac_coords": [[0.060, 0.940, 0.750], [0.326, 0.674, 0.750], [0.674, 0.326, 0.250], [0.940, 0.060, 0.250], [0.459, 0.541, 0.750], [0.541, 0.459, 0.250], [0.191, 0.809, 0.750], [0.809, 0.191, 0.250]], "space_group": "Cmcm, No. 63", "crystal_system": "orthorhombic", "polymorph_energy_mev_per_atom": 0, "delta_e_f_ev_per_fu": -3.261}



4.
{"formula": "Sm8Ge5Bi", "functional": "GGA-PBE", "state": "relaxed", "lattice_angstrom": [[-4.588, 4.588, 4.546], [4.588, -4.588, 4.546], [4.588, 4.588, -4.546]], "species": ["Sm", "Sm", "Sm", "Sm", "Sm", "Sm", "Sm", "Sm", "Ge", "Ge", "Ge", "Ge", "Ge", "Bi"], "frac_coords": [[0.000, 0.624, 0.753], [0.243, 0.484, 0.102], [0.376, 0.130, 0.376], [0.382, 0.141, 0.898], [0.516, 0.618, 0.759], [0.753, 0.000, 0.624], [0.859, 0.757, 0.241], [0.870, 0.247, 0.247], [0.000, 0.000, 0.000], [0.127, 0.249, 0.623], [0.496, 0.873, 0.122], [0.626, 0.504, 0.377], [0.751, 0.374, 0.878], [0.250, 0.750, 0.500]], "space_group": "I-4, No. 82", "crystal_system": "tetragonal", "delta_e_f_ev_per_fu": -11.559}



5.
{"formula": "Sm2Ge2Bi", "functional": "GGA-PBE", "state": "relaxed", "lattice_angstrom": [[2.039, -7.495, 0.000], [2.039, 7.495, 0.000], [0.000, 0.000, 4.213]], "species": ["Sm", "Sm", "Ge", "Ge", "Bi"], "frac_coords": [[0.138, 0.862, 0.000], [0.862, 0.138, 0.000], [0.303, 0.697, 0.500], [0.697, 0.303, 0.500], [0.500, 0.500, 0.500]], "space_group": "Cmmm, No. 65", "crystal_system": "orthorhombic", "delta_e_f_ev_per_fu": -3.601}



6.
{"formula": "Sm2GeBi", "functional": "GGA-PBE", "state": "relaxed", "lattice_angstrom": [[6.263, 0.000, 0.000], [0.000, 4.420, 0.000], [-3.099, 0.000, 8.152]], "species": ["Sm", "Sm", "Sm", "Sm", "Ge", "Ge", "Bi", "Bi"], "frac_coords": [[0.178, 0.250, 0.421], [0.284, 0.750, 0.054], [0.716, 0.250, 0.946], [0.822, 0.750, 0.579], [0.089, 0.250, 0.803], [0.911, 0.750, 0.197], [0.400, 0.750, 0.702], [0.600, 0.250, 0.298]], "space_group": "P2_1/m, No. 11", "crystal_system": "monoclinic", "polymorph_energy_mev_per_atom": 39, "delta_e_f_ev_per_fu": -3.104}



7.
{"formula": "Sm8GeBi2", "functional": "GGA-PBE", "state": "relaxed", "lattice_angstrom": [[9.410, -2.414, 0.000], [9.410, 2.414, 0.000], [-0.302, 0.000, 7.652]], "species": ["Sm", "Sm", "Sm", "Sm", "Sm", "Sm", "Sm", "Sm", "Ge", "Bi", "Bi"], "frac_coords": [[0.008, 0.008, 0.236], [0.217, 0.217, 0.363], [0.345, 0.345, 0.945], [0.404, 0.404, 0.472], [0.596, 0.596, 0.528], [0.655, 0.655, 0.055], [0.783, 0.783, 0.637], [0.992, 0.992, 0.764], [0.500, 0.500, 0.000], [0.174, 0.174, 0.785], [0.826, 0.826, 0.215]], "space_group": "C2/m, No. 12", "crystal_system": "monoclinic", "delta_e_f_ev_per_fu": -4.601}



8.
{"formula": "Sm12GeBi6", "functional": "GGA-PBE", "state": "relaxed", "lattice_angstrom": [[6.725, 3.883, 4.237], [-6.725, 3.883, 4.237], [0.000, -7.765, 4.237]], "species": ["Sm", "Sm", "Sm", "Sm", "Sm", "Sm", "Sm", "Sm", "Sm", "Sm", "Sm", "Sm", "Ge", "Bi", "Bi", "Bi", "Bi", "Bi", "Bi"], "frac_coords": [[0.005, 0.933, 0.677], [0.067, 0.323, 0.995], [0.198, 0.548, 0.420], [0.323, 0.995, 0.067], [0.420, 0.198, 0.548], [0.452, 0.580, 0.802], [0.548, 0.420, 0.198], [0.580, 0.802, 0.452], [0.677, 0.005, 0.933], [0.802, 0.452, 0.580], [0.933, 0.677, 0.005], [0.995, 0.067, 0.323], [0.000, 0.000, 0.000], [0.119, 0.310, 0.649], [0.310, 0.649, 0.119], [0.351, 0.881, 0.690], [0.649, 0.119, 0.310], [0.690, 0.351, 0.881], [0.881, 0.690, 0.351]], "space_group": "R-3, No. 148", "crystal_system": "trigonal", "delta_e_f_ev_per_fu": -9.763}



9.
{"formula": "Sm5GeBi4", "functional": "GGA-PBE", "state": "relaxed", "lattice_angstrom": [[-2.251, 2.251, 15.900], [2.251, -2.251, 15.900], [2.251, 2.251, -15.900]], "species": ["Sm", "Sm", "Sm", "Sm", "Sm", "Ge", "Bi", "Bi", "Bi", "Bi"], "frac_coords": [[0.000, 0.000, 0.000], [0.201, 0.201, 0.000], [0.406, 0.406, 0.000], [0.594, 0.594, 0.000], [0.799, 0.799, 0.000], [0.500, 0.500, 0.000], [0.100, 0.100, 0.000], [0.303, 0.303, 0.000], [0.697, 0.697, 0.000], [0.900, 0.900, 0.000]], "space_group": "I4/mmm, No. 139", "crystal_system": "tetragonal", "polymorph_energy_mev_per_atom": 9, "delta_e_f_ev_per_fu": -8.549}



10.
{"formula": "Sm5Ge2Bi2", "functional": "GGA-PBE", "state": "relaxed", "lattice_angstrom": [[7.862, -4.085, 0.000], [7.862, 4.085, 0.000], [0.000, 0.000, 8.187]], "species": ["Sm", "Sm", "Sm", "Sm", "Sm", "Sm", "Sm", "Sm", "Sm", "Sm", "Ge", "Ge", "Ge", "Ge", "Bi", "Bi", "Bi", "Bi"], "frac_coords": [[0.000, 0.000, 0.000], [0.040, 0.710, 0.664], [0.210, 0.540, 0.164], [0.290, 0.960, 0.664], [0.460, 0.790, 0.164], [0.500, 0.500, 0.500], [0.540, 0.210, 0.836], [0.710, 0.040, 0.336], [0.790, 0.460, 0.836], [0.960, 0.290, 0.336], [0.139, 0.861, 0.362], [0.361, 0.639, 0.862], [0.639, 0.361, 0.138], [0.861, 0.139, 0.638], [0.206, 0.206, 0.000], [0.294, 0.294, 0.500], [0.706, 0.706, 0.500], [0.794, 0.794, 0.000]], "space_group": "Cmce, No. 64", "crystal_system": "orthorhombic", "delta_e_f_ev_per_fu": -7.777}



11.
{"formula": "Sm3GeBi", "functional": "GGA-PBE", "state": "relaxed", "lattice_angstrom": [[3.776, 2.180, 6.988], [-3.776, 2.180, 6.988], [0.000, -4.360, 6.988]], "species": ["Sm", "Sm", "Sm", "Sm", "Sm", "Sm", "Ge", "Ge", "Bi", "Bi"], "frac_coords": [[0.089, 0.473, 0.694], [0.306, 0.911, 0.527], [0.473, 0.694, 0.089], [0.527, 0.306, 0.911], [0.694, 0.089, 0.473], [0.911, 0.527, 0.306], [0.333, 0.333, 0.333], [0.667, 0.667, 0.667], [0.139, 0.139, 0.139], [0.861, 0.861, 0.861]], "space_group": "R-3, No. 148", "crystal_system": "trigonal", "delta_e_f_ev_per_fu": -2.768}



12.
{"formula": "Sm6Ge2BiTe3", "functional": "GGA-PBE", "state": "relaxed", "lattice_angstrom": [[9.630, -2.194, 0.000], [9.630, 2.194, 0.000], [-2.078, 0.000, 8.647]], "species": ["Sm", "Sm", "Sm", "Sm", "Sm", "Sm", "Ge", "Ge", "Bi", "Te", "Te", "Te"], "frac_coords": [[0.011, 0.011, 0.255], [0.327, 0.327, 0.431], [0.331, 0.331, 0.891], [0.669, 0.669, 0.109], [0.673, 0.673, 0.569], [0.989, 0.989, 0.745], [0.168, 0.168, 0.336], [0.832, 0.832, 0.664], [0.500, 0.500, 0.000], [0.163, 0.163, 0.834], [0.500, 0.500, 0.500], [0.837, 0.837, 0.166]], "space_group": "C2/m, No. 12", "crystal_system": "monoclinic", "formation_energy_uncorrected_ev_per_atom": -1.22}